Below is KIn2Cl after structural relaxation, with properties calculated at the PBE-GGA level.

Results
* total DFT energy (no corrections): -2.7681 eV/atom
* excess energy over the best structure of this formula in the dataset: 34 meV/atom
* density: 3507 kg/m3
* Fermi-level density of states: 3.20 states/eV/cell
* formation energy from raw total energies: -0.6628 eV per atom

Cell lengths 4.305, 4.305, 15.838 Å; angles 82.19, 82.19, 90.00 degrees
Element x y z (fractional)
Cl 0.500 0.500 0.000
Cl 0.250 0.750 0.500
In 0.875 0.872 0.750
In 0.622 0.125 0.250
In 0.128 0.625 0.250
In 0.375 0.378 0.750
K 0.000 0.000 0.000
K 0.750 0.250 0.500